{
  "formula": "SrGeOs2",
  "functional": "PBE-GGA",
  "state": "relaxed",
  "lattice": [[4.855, 0.000, 0.000], [0.000, 4.855, 0.000], [2.428, 2.428, 8.553]],
  "species": ["Os", "Ge", "Ge", "Sr", "Os", "Os", "Sr", "Os"],
  "fractional_positions": [[0.375, 0.650, 0.750], [0.250, 0.750, 0.500], [0.500, 0.500, 0.000], [0.750, 0.250, 0.500], [0.400, 0.625, 0.250], [0.350, 0.125, 0.250], [0.000, 0.000, 0.000], [0.875, 0.600, 0.750]],
  "de_polymorph_mev_per_atom": 0,
  "delta_e_f_ev_per_atom": 0.452,
  "dft_energy_ev_per_atom": -6.74
}

---

{
  "formula": "SrGe3Os",
  "functional": "PBE-GGA",
  "state": "relaxed",
  "lattice": [[5.938, 0.000, 0.604], [0.000, 6.214, 0.000], [-0.545, -3.107, 5.355]],
  "species": ["Ge", "Ge", "Ge", "Ge", "Os", "Sr", "Ge", "Sr", "Os", "Ge"],
  "fractional_positions": [[0.250, 0.385, 0.192], [0.750, 0.192, 0.808], [0.250, 0.808, 0.192], [0.750, 0.192, 0.385], [0.500, 0.000, 0.000], [0.750, 0.667, 0.333], [0.250, 0.808, 0.615], [0.250, 0.333, 0.667], [0.000, 0.000, 0.000], [0.750, 0.615, 0.808]],
  "delta_e_f_ev_per_atom": -0.255,
  "dft_energy_ev_per_atom": -5.61
}

---

{
  "formula": "Sr2GeOs",
  "functional": "PBE-GGA",
  "state": "relaxed",
  "lattice": [[0.000, 3.710, 3.710], [3.710, 0.000, 3.710], [3.710, 3.710, 0.000]],
  "species": ["Sr", "Ge", "Sr", "Os"],
  "fractional_positions": [[0.750, 0.750, 0.750], [0.000, 0.000, 0.000], [0.250, 0.250, 0.250], [0.500, 0.500, 0.500]],
  "de_polymorph_mev_per_atom": 323,
  "delta_e_f_ev_per_atom": 0.440,
  "dft_energy_ev_per_atom": -4.36
}

---

{
  "formula": "SrGe3Os",
  "functional": "PBE-GGA",
  "state": "relaxed",
  "lattice": [[4.902, 0.000, 0.000], [0.000, 4.902, 0.000], [0.000, 0.000, 4.902]],
  "species": ["Ge", "Sr", "Ge", "Os", "Ge"],
  "fractional_positions": [[0.000, 0.500, 0.000], [0.500, 0.500, 0.500], [0.500, 0.000, 0.000], [0.000, 0.000, 0.000], [0.000, 0.000, 0.500]],
  "delta_e_f_ev_per_atom": 0.106,
  "dft_energy_ev_per_atom": -5.25
}

---

{
  "formula": "Sr2Ge2Os",
  "functional": "PBE-GGA",
  "state": "relaxed",
  "lattice": [[-4.335, 5.317, 0.085], [-0.544, -0.334, -6.831], [-3.801, -3.106, 0.455]],
  "species": ["Ge", "Sr", "Sr", "Ge", "Os", "Os", "Ge", "Sr", "Sr", "Ge"],
  "fractional_positions": [[0.360, 0.860, 0.000], [0.321, 0.179, 0.500], [0.821, 0.321, 0.500], [0.860, 0.640, 0.000], [0.500, 0.500, 0.000], [0.000, 0.000, 0.000], [0.640, 0.140, 0.000], [0.679, 0.821, 0.500], [0.179, 0.679, 0.500], [0.140, 0.360, 0.000]],
  "delta_e_f_ev_per_atom": -0.153,
  "dft_energy_ev_per_atom": -4.92
}

---

{
  "formula": "SrGe3Os",
  "functional": "PBE-GGA",
  "state": "relaxed",
  "lattice": [[-5.116, 1.206, -0.216], [-1.093, -4.077, 3.140], [0.552, 3.099, 4.215]],
  "species": ["Ge", "Ge", "Ge", "Os", "Sr"],
  "fractional_positions": [[0.000, 0.500, 0.000], [0.500, 0.000, 0.000], [0.000, 0.000, 0.500], [0.500, 0.500, 0.500], [0.000, 0.000, 0.000]],
  "delta_e_f_ev_per_atom": 2.395,
  "dft_energy_ev_per_atom": -2.96
}

---

{
  "formula": "Sr2GeOs2",
  "functional": "PBE-GGA",
  "state": "relaxed",
  "lattice": [[6.088, 0.000, 0.000], [0.000, 6.088, 0.000], [3.044, 3.044, 3.636]],
  "species": ["Os", "Sr", "Os", "Sr", "Ge"],
  "fractional_positions": [[0.666, 0.666, 0.667], [0.250, 0.750, 0.500], [0.334, 0.334, 0.333], [0.750, 0.250, 0.500], [0.000, 0.000, 0.000]],
  "delta_e_f_ev_per_atom": 0.663,
  "dft_energy_ev_per_atom": -5.43
}

---

{
  "formula": "Sr2GeOs",
  "functional": "PBE-GGA",
  "state": "relaxed",
  "lattice": [[-2.244, 10.845, 2.034], [1.123, -1.840, 11.052], [1.757, 5.010, 6.392]],
  "species": ["Os", "Sr", "Ge", "Sr", "Sr", "Sr", "Ge", "Os"],
  "fractional_positions": [[0.000, 0.000, 0.000], [0.375, 0.192, 0.750], [0.250, 0.750, 0.500], [0.942, 0.625, 0.250], [0.875, 0.058, 0.750], [0.808, 0.125, 0.250], [0.500, 0.500, 0.000], [0.750, 0.250, 0.500]],
  "de_polymorph_mev_per_atom": 0,
  "delta_e_f_ev_per_atom": 0.117,
  "dft_energy_ev_per_atom": -4.69
}

---

{
  "formula": "TaGeOs",
  "functional": "PBE-GGA",
  "state": "relaxed",
  "lattice": [[-1.616, 0.359, 2.515], [0.432, -2.899, 0.691], [4.884, 2.525, 0.976]],
  "species": ["Ge", "Os", "Ta"],
  "fractional_positions": [[0.013, 0.013, 0.027], [0.654, 0.654, 0.309], [0.332, 0.332, 0.664]],
  "delta_e_f_ev_per_atom": -0.089,
  "dft_energy_ev_per_atom": -9.32
}

---

{
  "formula": "Ta3GeOs",
  "functional": "PBE-GGA",
  "state": "relaxed",
  "lattice": [[4.855, 0.000, 0.000], [0.000, 4.855, 0.000], [0.000, 0.000, 4.855]],
  "species": ["Ta", "Ge", "Ta", "Os", "Ta"],
  "fractional_positions": [[0.000, 0.500, 0.000], [0.500, 0.500, 0.500], [0.000, 0.000, 0.500], [0.000, 0.000, 0.000], [0.500, 0.000, 0.000]],
  "de_polymorph_mev_per_atom": 0,
  "delta_e_f_ev_per_atom": 1.141,
  "dft_energy_ev_per_atom": -9.14
}

---

{
  "formula": "Ta4Ge6Os7",
  "functional": "PBE-GGA",
  "state": "relaxed",
  "lattice": [[-2.003, -0.632, -6.691], [-0.133, -6.297, 3.084], [-4.375, 4.337, 3.350]],
  "species": ["Ge", "Os", "Os", "Ge", "Os", "Os", "Os", "Os", "Ta", "Os", "Ge", "Ta", "Ge", "Ge", "Ta", "Ta", "Ge"],
  "fractional_positions": [[0.306, 0.000, 0.306], [0.250, 0.500, 0.750], [0.750, 0.500, 0.250], [0.000, 0.694, 0.694], [0.750, 0.250, 0.500], [0.500, 0.750, 0.250], [0.000, 0.000, 0.000], [0.500, 0.250, 0.750], [0.500, 0.500, 0.500], [0.250, 0.750, 0.500], [0.000, 0.306, 0.306], [0.500, 0.000, 0.000], [0.306, 0.306, 0.000], [0.694, 0.694, 0.000], [0.000, 0.000, 0.500], [0.000, 0.500, 0.000], [0.694, 0.000, 0.694]],
  "delta_e_f_ev_per_atom": -0.068,
  "dft_energy_ev_per_atom": -9.11
}

---

{
  "formula": "Ta3GeOs",
  "functional": "PBE-GGA",
  "state": "relaxed",
  "lattice": [[-1.866, -4.240, -0.216], [2.816, -1.413, 3.402], [-3.177, 1.238, 3.143]],
  "species": ["Ta", "Ta", "Os", "Ge", "Ta"],
  "fractional_positions": [[0.500, 0.000, 0.000], [0.000, 0.500, 0.000], [0.500, 0.500, 0.500], [0.000, 0.000, 0.000], [0.000, 0.000, 0.500]],
  "de_polymorph_mev_per_atom": 190,
  "delta_e_f_ev_per_atom": 1.331,
  "dft_energy_ev_per_atom": -8.95
}

---

{
  "formula": "TaGeOs",
  "functional": "PBE-GGA",
  "state": "relaxed",
  "lattice": [[-0.555, 4.117, -1.276], [-3.263, -2.847, -0.367], [-2.431, 1.872, 7.097]],
  "species": ["Ge", "Os", "Ta", "Os", "Ge", "Ta"],
  "fractional_positions": [[0.333, 0.667, 0.284], [0.000, 0.000, 0.175], [0.333, 0.667, 0.911], [0.000, 0.000, 0.825], [0.667, 0.333, 0.716], [0.667, 0.333, 0.089]],
  "delta_e_f_ev_per_atom": 0.180,
  "dft_energy_ev_per_atom": -9.05
}

---

{
  "formula": "Ta2Ge2Os",
  "functional": "PBE-GGA",
  "state": "relaxed",
  "lattice": [[6.253, 0.000, 0.000], [0.000, 6.253, 0.000], [0.000, 0.000, 4.185]],
  "species": ["Ge", "Ge", "Ge", "Ta", "Ge", "Ta", "Os", "Ta", "Os", "Ta"],
  "fractional_positions": [[0.860, 0.640, 0.000], [0.140, 0.360, 0.000], [0.360, 0.860, 0.000], [0.841, 0.341, 0.500], [0.640, 0.140, 0.000], [0.159, 0.659, 0.500], [0.500, 0.500, 0.000], [0.659, 0.841, 0.500], [0.000, 0.000, 0.000], [0.341, 0.159, 0.500]],
  "delta_e_f_ev_per_atom": -0.109,
  "dft_energy_ev_per_atom": -8.94
}